Record 1
CdAs2Au: optimized geometry, PBE.

- calculated total energy (eV/atom) = -3.12
- ΔE_f (meV per atom) = 254.8

abc: 4.252 4.268 8.977
angles: 90.00 90.00 90.00
Positions (direct):
1 Cd 0.000 0.000 0.000
2 Cd 0.500 0.500 0.000
3 As 0.000 0.500 0.273
4 As 0.000 0.500 0.727
5 As 0.500 0.000 0.273
6 As 0.500 0.000 0.727
7 Au 0.000 0.000 0.500
8 Au 0.500 0.500 0.500



Record 2
Cd2AsAu: optimized geometry, PBE.

- calculated total energy (eV/atom) = -2.40
- ΔE_f (meV per atom) = 39.2

abc: 4.358 4.402 8.540
angles: 90.00 90.00 90.00
Positions (direct):
1 Cd 0.000 0.000 0.238
2 Cd 0.000 0.000 0.762
3 Cd 0.500 0.500 0.238
4 Cd 0.500 0.500 0.762
5 As 0.000 0.500 0.500
6 As 0.500 0.000 0.500
7 Au 0.000 0.500 0.000
8 Au 0.500 0.000 0.000



Record 3
CdAs2Au: optimized geometry, PBE.

- calculated total energy (eV/atom) = -3.15
- ΔE_f (meV per atom) = 219.4

abc: 3.079 5.161 9.965
angles: 90.00 90.00 90.00
Positions (direct):
1 Cd 0.000 0.000 0.000
2 Cd 0.500 0.500 0.000
3 As 0.000 0.000 0.519
4 As 0.000 0.500 0.254
5 As 0.500 0.000 0.254
6 As 0.500 0.500 0.519
7 Au 0.000 0.500 0.753
8 Au 0.500 0.000 0.753



Record 4
CdAs2Au: optimized geometry, PBE.

- calculated total energy (eV/atom) = -3.10
- ΔE_f (meV per atom) = 276.4

abc: 6.855 6.855 6.855
angles: 90.00 90.00 90.00
Positions (direct):
1 Cd 0.000 0.000 0.000
2 Cd 0.000 0.500 0.500
3 Cd 0.500 0.000 0.500
4 Cd 0.500 0.500 0.000
5 As 0.000 0.000 0.500
6 As 0.000 0.500 0.000
7 As 0.250 0.250 0.750
8 As 0.250 0.750 0.250
9 As 0.500 0.000 0.000
10 As 0.500 0.500 0.500
11 As 0.750 0.250 0.250
12 As 0.750 0.750 0.750
13 Au 0.250 0.250 0.250
14 Au 0.250 0.750 0.750
15 Au 0.750 0.250 0.750
16 Au 0.750 0.750 0.250



Record 5
CdAs2Au2: optimized geometry, PBE.

- calculated total energy (eV/atom) = -3.18
- offset from the most stable computed form (meV/atom) = 45
- ΔE_f (meV per atom) = 175.5

abc: 7.439 7.439 3.652
angles: 90.00 90.00 90.00
Positions (direct):
1 Cd 0.000 0.000 0.000
2 Cd 0.500 0.500 0.000
3 As 0.173 0.327 0.500
4 As 0.327 0.827 0.500
5 As 0.673 0.173 0.500
6 As 0.827 0.673 0.500
7 Au 0.135 0.635 0.000
8 Au 0.365 0.135 0.000
9 Au 0.635 0.865 0.000
10 Au 0.865 0.365 0.000



Record 6
Cd2AsAu: optimized geometry, PBE.

- calculated total energy (eV/atom) = -2.39
- ΔE_f (meV per atom) = 46.0

abc: 4.276 4.276 8.934
angles: 90.00 90.00 90.00
Positions (direct):
1 Cd 0.000 0.000 0.000
2 Cd 0.000 0.500 0.250
3 Cd 0.500 0.000 0.750
4 Cd 0.500 0.500 0.500
5 As 0.000 0.500 0.750
6 As 0.500 0.000 0.250
7 Au 0.000 0.000 0.500
8 Au 0.500 0.500 0.000



Record 7
Cd2AsAu: optimized geometry, PBE.

- calculated total energy (eV/atom) = -2.44
- ΔE_f (meV per atom) = 2.2

abc: 13.073 2.919 4.927
angles: 90.00 111.78 90.00
Positions (direct):
1 Cd 0.000 0.000 0.000
2 Cd 0.194 0.000 0.691
3 Cd 0.500 0.500 0.000
4 Cd 0.694 0.500 0.691
5 As 0.416 0.000 0.417
6 As 0.916 0.500 0.417
7 Au 0.215 0.500 0.211
8 Au 0.715 0.000 0.211



Record 8
Cd4As2Au: optimized geometry, PBE.

- calculated total energy (eV/atom) = -2.09
- ΔE_f (meV per atom) = 224.9

abc: 5.322 5.322 13.704
angles: 90.00 90.00 90.00
Positions (direct):
1 Cd 0.000 0.000 0.198
2 Cd 0.000 0.000 0.802
3 Cd 0.000 0.500 0.000
4 Cd 0.000 0.500 0.500
5 Cd 0.500 0.000 0.000
6 Cd 0.500 0.000 0.500
7 Cd 0.500 0.500 0.302
8 Cd 0.500 0.500 0.698
9 As 0.000 0.000 0.388
10 As 0.000 0.000 0.612
11 As 0.500 0.500 0.112
12 As 0.500 0.500 0.888
13 Au 0.000 0.000 0.000
14 Au 0.500 0.500 0.500



Record 9
Cd2AsAu: optimized geometry, PBE.

- calculated total energy (eV/atom) = -2.41
- ΔE_f (meV per atom) = 27.2

abc: 3.133 4.114 6.320
angles: 90.00 90.00 90.00
Positions (direct):
1 Cd 0.000 0.000 0.243
2 Cd 0.000 0.000 0.757
3 As 0.500 0.500 0.500
4 Au 0.500 0.500 0.000



Record 10
CdAs2Au: optimized geometry, PBE.

- calculated total energy (eV/atom) = -3.16
- ΔE_f (meV per atom) = 217.1

abc: 5.311 5.311 2.857
angles: 90.00 90.00 90.00
Positions (direct):
1 Cd 0.000 0.000 0.000
2 As 0.000 0.500 0.500
3 As 0.500 0.000 0.500
4 Au 0.500 0.500 0.000



Record 11
CdAs2Au: optimized geometry, PBE.

- calculated total energy (eV/atom) = -3.43
- ΔE_f (meV per atom) = -59.9

abc: 11.384 3.643 4.587
angles: 90.00 106.63 90.00
Positions (direct):
1 Cd 0.000 0.000 0.000
2 Cd 0.500 0.500 0.000
3 As 0.235 0.500 0.671
4 As 0.265 0.000 0.329
5 As 0.735 0.000 0.671
6 As 0.765 0.500 0.329
7 Au 0.000 0.500 0.500
8 Au 0.500 0.000 0.500



Record 12
Cd2As2Au: optimized geometry, PBE.

- calculated total energy (eV/atom) = -2.62
- offset from the most stable computed form (meV/atom) = 146
- ΔE_f (meV per atom) = 264.6

abc: 8.683 8.683 2.894
angles: 90.00 90.00 90.00
Positions (direct):
1 Cd 0.160 0.340 0.000
2 Cd 0.340 0.840 0.000
3 Cd 0.660 0.160 0.000
4 Cd 0.840 0.660 0.000
5 As 0.139 0.639 0.500
6 As 0.361 0.139 0.500
7 As 0.639 0.861 0.500
8 As 0.861 0.361 0.500
9 Au 0.000 0.000 0.000
10 Au 0.500 0.500 0.000



Record 13
Cd2AsAu: optimized geometry, PBE.

- calculated total energy (eV/atom) = -2.44
- ΔE_f (meV per atom) = 4.2

abc: 4.364 4.364 16.898
angles: 90.00 90.00 120.00
Positions (direct):
1 Cd 0.000 0.000 0.000
2 Cd 0.000 0.000 0.178
3 Cd 0.333 0.667 0.667
4 Cd 0.333 0.667 0.844
5 Cd 0.667 0.333 0.333
6 Cd 0.667 0.333 0.511
7 As 0.000 0.000 0.591
8 As 0.333 0.667 0.257
9 As 0.667 0.333 0.924
10 Au 0.000 0.000 0.753
11 Au 0.333 0.667 0.419
12 Au 0.667 0.333 0.086



Record 14
Cd2As2Au: optimized geometry, PBE.

- calculated total energy (eV/atom) = -2.76
- offset from the most stable computed form (meV/atom) = 0
- ΔE_f (meV per atom) = 118.2

abc: 3.751 3.751 15.646
angles: 90.00 90.00 90.00
Positions (direct):
1 Cd 0.000 0.000 0.093
2 Cd 0.000 0.000 0.907
3 Cd 0.500 0.500 0.407
4 Cd 0.500 0.500 0.593
5 As 0.000 0.500 0.250
6 As 0.000 0.500 0.750
7 As 0.500 0.000 0.250
8 As 0.500 0.000 0.750
9 Au 0.000 0.000 0.500
10 Au 0.500 0.500 0.000



Record 15
Cd2AsAu: optimized geometry, PBE.

- calculated total energy (eV/atom) = -2.34
- ΔE_f (meV per atom) = 102.7

abc: 6.020 6.020 13.409
angles: 90.00 90.00 90.00
Positions (direct):
1 Cd 0.219 0.250 0.125
2 Cd 0.250 0.719 0.375
3 Cd 0.250 0.781 0.875
4 Cd 0.281 0.250 0.625
5 Cd 0.719 0.750 0.625
6 Cd 0.750 0.219 0.875
7 Cd 0.750 0.281 0.375
8 Cd 0.781 0.750 0.125
9 As 0.000 0.000 0.000
10 As 0.000 0.500 0.250
11 As 0.500 0.000 0.750
12 As 0.500 0.500 0.500
13 Au 0.000 0.000 0.500
14 Au 0.000 0.500 0.750
15 Au 0.500 0.000 0.250
16 Au 0.500 0.500 0.000



Record 16
CdAs2Au: optimized geometry, PBE.

- calculated total energy (eV/atom) = -3.15
- ΔE_f (meV per atom) = 225.6

abc: 4.392 4.392 8.300
angles: 90.00 90.00 90.00
Positions (direct):
1 Cd 0.000 0.000 0.000
2 Cd 0.500 0.500 0.500
3 As 0.000 0.000 0.500
4 As 0.000 0.500 0.750
5 As 0.500 0.000 0.250
6 As 0.500 0.500 0.000
7 Au 0.000 0.500 0.250
8 Au 0.500 0.000 0.750



Record 17
Cd3AsAu: optimized geometry, PBE.

- calculated total energy (eV/atom) = -1.78
- offset from the most stable computed form (meV/atom) = 396
- ΔE_f (meV per atom) = 351.3

abc: 5.302 5.302 5.302
angles: 90.00 90.00 90.00
Positions (direct):
1 Cd 0.000 0.000 0.500
2 Cd 0.000 0.500 0.000
3 Cd 0.500 0.000 0.000
4 As 0.000 0.000 0.000
5 Au 0.500 0.500 0.500



Record 18
Cd10AsAu4: optimized geometry, PBE.

- calculated total energy (eV/atom) = -1.93
- ΔE_f (meV per atom) = -132.0

abc: 20.100 20.100 20.100
angles: 13.07 13.07 13.07
Positions (direct):
1 Cd 0.050 0.050 0.050
2 Cd 0.151 0.151 0.151
3 Cd 0.248 0.248 0.248
4 Cd 0.353 0.353 0.353
5 Cd 0.449 0.449 0.449
6 Cd 0.551 0.551 0.551
7 Cd 0.647 0.647 0.647
8 Cd 0.752 0.752 0.752
9 Cd 0.849 0.849 0.849
10 Cd 0.950 0.950 0.950
11 As 0.000 0.000 0.000
12 Au 0.200 0.200 0.200
13 Au 0.401 0.401 0.401
14 Au 0.599 0.599 0.599
15 Au 0.800 0.800 0.800



Record 19
CdAs2Au: optimized geometry, PBE.

- calculated total energy (eV/atom) = -3.33
- ΔE_f (meV per atom) = 47.2

abc: 8.439 2.915 7.144
angles: 90.00 96.02 90.00
Positions (direct):
1 Cd 0.000 0.000 0.000
2 Cd 0.500 0.500 0.000
3 As 0.275 0.000 0.759
4 As 0.425 0.000 0.476
5 As 0.775 0.500 0.759
6 As 0.925 0.500 0.476
7 Au 0.212 0.500 0.262
8 Au 0.712 0.000 0.262



Record 20
Cd2As2Au: optimized geometry, PBE.

- calculated total energy (eV/atom) = -2.75
- offset from the most stable computed form (meV/atom) = 10
- ΔE_f (meV per atom) = 128.3

abc: 5.490 5.490 7.957
angles: 90.00 90.00 90.00
Positions (direct):
1 Cd 0.000 0.500 0.250
2 Cd 0.000 0.500 0.750
3 Cd 0.500 0.000 0.250
4 Cd 0.500 0.000 0.750
5 As 0.000 0.000 0.176
6 As 0.000 0.000 0.824
7 As 0.500 0.500 0.324
8 As 0.500 0.500 0.676
9 Au 0.000 0.000 0.500
10 Au 0.500 0.500 0.000